## Zr2PtBr (PBEsol)

Data for crystalline Zr2PtBr at its relaxed geometry.

Computed properties:
ΔE to the lowest computed polymorph in meV per atom: 0
M_tot in μB/f.u.: 0.0
Formation energy without anion corrections in eV/atom: -0.62

```
Zr2PtBr
1.0
4.393 0.000 0.000
0.000 5.479 0.000
0.000 0.000 3.315
Zr Pt Br
2 1 1
Cartesian
0.000 0.000 0.000
2.196 2.740 1.615
0.000 2.740 3.262
2.196 0.000 1.641
```